Entry from Alexandria: a relaxed structure of Cs3K5Mo8P8O44 (PBE+U).

a = 10.026 Å, b = 10.272 Å, c = 10.382 Å
α = 90.01°, β = 90.11°, γ = 99.72°
Atoms (fractional coordinates):
Cs  0.000  0.000  0.000
Cs  0.004  0.500  0.499
Cs  0.523  0.505  0.609
K  0.252  0.246  0.361
K  0.253  0.752  0.803
K  0.461  0.975  0.130
K  0.750  0.252  0.868
K  0.752  0.749  0.302
Mo  0.111  0.665  0.123
Mo  0.117  0.407  0.878
Mo  0.392  0.097  0.725
Mo  0.395  0.833  0.486
Mo  0.608  0.669  0.985
Mo  0.614  0.402  0.221
Mo  0.886  0.094  0.377
Mo  0.895  0.836  0.622
P  0.074  0.152  0.666
P  0.101  0.873  0.368
P  0.402  0.622  0.239
P  0.431  0.352  0.933
P  0.572  0.147  0.431
P  0.603  0.878  0.738
P  0.904  0.629  0.869
P  0.931  0.349  0.165
O  0.017  0.193  0.536
O  0.024  0.233  0.779
O  0.026  0.005  0.698
O  0.026  0.770  0.271
O  0.059  0.824  0.505
O  0.065  0.012  0.339
O  0.174  0.545  0.001
O  0.192  0.474  0.737
O  0.205  0.814  0.069
O  0.232  0.185  0.658
O  0.247  0.612  0.255
O  0.256  0.885  0.353
O  0.273  0.316  0.941
O  0.303  0.685  0.542
O  0.320  0.031  0.868
O  0.332  0.954  0.605
O  0.437  0.482  0.263
O  0.444  0.676  0.102
O  0.477  0.500  0.906
O  0.478  0.723  0.338
O  0.481  0.276  0.816
O  0.495  0.306  0.058
O  0.508  0.190  0.556
O  0.522  0.224  0.314
O  0.525  0.999  0.400
O  0.526  0.777  0.836
O  0.560  0.826  0.601
O  0.570  0.019  0.763
O  0.672  0.546  0.103
O  0.692  0.466  0.362
O  0.695  0.818  0.045
O  0.729  0.183  0.440
O  0.749  0.619  0.854
O  0.757  0.886  0.754
O  0.773  0.315  0.153
O  0.804  0.688  0.564
O  0.810  0.027  0.237
O  0.831  0.956  0.501
O  0.938  0.489  0.842
O  0.948  0.680  0.006
O  0.978  0.496  0.197
O  0.979  0.269  0.280
O  0.979  0.730  0.770
O  0.990  0.307  0.037

Computed properties:
The total moment is 8.00 μB per formula unit. As for the space group: P1. Its total energy is -6.856 eV/atom.